# BeCoP

Crystalline BeCoP at its relaxed geometry (PBE-GGA, Alexandria via LeMat-Bulk).

space group: P3m1 (156)
polymorph energy (0 for the lowest one): 220 meV/atom

Cell lengths 3.688, 3.688, 2.725 Å; angles 90.00, 90.00, 120.00 degrees
Fractional coordinates of all 3 atoms:
Be 0.000 0.000 0.000
Co 0.667 0.333 0.502
P 0.333 0.667 0.503